# Na3MnCr2S6 | Alexandria via LeMat-Bulk | PBE-GGA | optimized geometry
# calculated total energy = -135.58 eV for the cell shown
# M_tot = 10.0 μB per formula unit
data_Na3MnCr2S6
_chemical_formula_sum 'Na6 Mn2 Cr4 S12'
_cell_length_a 6.245
_cell_length_b 10.793
_cell_length_c 6.827
_cell_angle_alpha 90.00
_cell_angle_beta 107.89
_cell_angle_gamma 90.00
_symmetry_space_group_name_H-M 'C 1 2/m 1'
_symmetry_Int_Tables_number 12
_symmetry_space_group_name_Hall '-C 2y'
loop_
_atom_site_label
_atom_site_type_symbol
_atom_site_fract_x
_atom_site_fract_y
_atom_site_fract_z
Na1 Na 0.000 0.000 0.000
Na2 Na 0.000 0.335 0.000
Mn1 Mn 0.000 0.500 0.500
Cr1 Cr 0.000 0.167 0.500
S1 S 0.227 0.000 0.701
S2 S 0.235 0.331 0.699